[1]
A relaxed LiNd5Ag4 crystal. Source: the Alexandria database, functional GGA-PBE.

a b c (Å): 3.754 3.754 18.978
angles (deg): 90.00 90.00 90.00
Positions (direct):
Li1 0.000 0.000 0.000
Nd1 0.500 0.500 0.104
Nd2 0.500 0.500 0.301
Nd3 0.500 0.500 0.500
Nd4 0.500 0.500 0.699
Nd5 0.500 0.500 0.896
Ag1 0.000 0.000 0.200
Ag2 0.000 0.000 0.401
Ag3 0.000 0.000 0.599
Ag4 0.000 0.000 0.800

## Properties
**Total magnetic moment**: 0.0 μB per cell



[2]
A relaxed Li6NdAg4 crystal. Source: the Alexandria database, functional GGA-PBE.

a b c (Å): 4.142 7.663 7.663
angles (deg): 120.00 90.00 90.00
Positions (direct):
Li1 0.000 0.533 0.066
Li2 0.500 0.593 0.797
Li3 0.000 0.533 0.467
Li4 0.000 0.934 0.467
Li5 0.500 0.203 0.797
Li6 0.500 0.203 0.407
Nd1 0.000 0.000 0.000
Ag1 0.500 0.800 0.599
Ag2 0.500 0.401 0.200
Ag3 0.500 0.800 0.200
Ag4 0.000 0.333 0.667

## Properties
**Total magnetic moment**: 0.0 μB per cell



[3]
A relaxed LiNdAg2 crystal. Source: the Alexandria database, functional GGA-PBE.

a b c (Å): 5.770 7.575 7.713
angles (deg): 90.00 90.00 90.00
Positions (direct):
Li1 0.648 0.250 0.383
Li2 0.148 0.750 0.117
Li3 0.352 0.750 0.617
Li4 0.852 0.250 0.883
Nd1 0.363 0.250 0.036
Nd2 0.863 0.750 0.464
Nd3 0.637 0.750 0.964
Nd4 0.137 0.250 0.536
Ag1 0.912 0.056 0.178
Ag2 0.412 0.944 0.322
Ag3 0.088 0.556 0.822
Ag4 0.588 0.444 0.678
Ag5 0.088 0.944 0.822
Ag6 0.588 0.056 0.678
Ag7 0.912 0.444 0.178
Ag8 0.412 0.556 0.322

## Properties
**Total magnetic moment**: 0.0 μB per cell



[4]
A relaxed LiNdAg3 crystal. Source: the Alexandria database, functional GGA-PBE.

a b c (Å): 5.663 5.733 13.170
angles (deg): 90.00 90.00 90.00
Positions (direct):
Li1 0.325 0.814 0.250
Li2 0.825 0.686 0.750
Li3 0.675 0.186 0.750
Li4 0.175 0.314 0.250
Nd1 0.500 0.000 0.000
Nd2 0.000 0.500 0.500
Nd3 0.000 0.500 0.000
Nd4 0.500 0.000 0.500
Ag1 0.990 0.002 0.891
Ag2 0.490 0.498 0.391
Ag3 0.490 0.498 0.109
Ag4 0.010 0.998 0.391
Ag5 0.010 0.998 0.109
Ag6 0.510 0.502 0.609
Ag7 0.510 0.502 0.891
Ag8 0.990 0.002 0.609
Ag9 0.672 0.172 0.250
Ag10 0.172 0.328 0.750
Ag11 0.328 0.828 0.750
Ag12 0.828 0.672 0.250

## Properties
**Total magnetic moment**: 0.0 μB per cell



[5]
A relaxed Li9NdAg2 crystal. Source: the Alexandria database, functional GGA-PBE.

a b c (Å): 7.405 8.773 8.773
angles (deg): 79.74 65.04 65.04
Positions (direct):
Li1 0.750 0.500 0.500
Li2 0.000 0.000 0.000
Li3 0.014 0.918 0.677
Li4 0.609 0.082 0.323
Li5 0.682 0.177 0.582
Li6 0.441 0.823 0.418
Li7 0.736 0.823 0.582
Li8 0.141 0.177 0.418
Li9 0.068 0.918 0.323
Li10 0.309 0.082 0.677
Li11 0.736 0.582 0.823
Li12 0.141 0.418 0.177
Li13 0.068 0.323 0.918
Li14 0.309 0.677 0.082
Li15 0.014 0.677 0.918
Li16 0.609 0.323 0.082
Li17 0.682 0.582 0.177
Li18 0.441 0.418 0.823
Nd1 0.500 0.000 0.000
Nd2 0.250 0.500 0.500
Ag1 0.875 0.250 0.750
Ag2 0.875 0.750 0.250
Ag3 0.875 0.250 0.250
Ag4 0.375 0.750 0.750

## Properties
**Total magnetic moment**: 0.0 μB per cell



[6]
A relaxed LiNd2Ag6 crystal. Source: the Alexandria database, functional GGA-PBE.

a b c (Å): 5.673 6.304 6.304
angles (deg): 60.01 90.00 90.00
Positions (direct):
Li1 0.000 0.000 0.000
Nd1 0.828 0.667 0.667
Nd2 0.172 0.333 0.333
Ag1 0.314 0.356 0.822
Ag2 0.314 0.822 0.822
Ag3 0.314 0.822 0.356
Ag4 0.686 0.644 0.178
Ag5 0.686 0.178 0.178
Ag6 0.686 0.178 0.644

## Properties
**Total magnetic moment**: 0.0 μB per cell



[7]
A relaxed Li2Nd3Ag4 crystal. Source: the Alexandria database, functional GGA-PBE.

a b c (Å): 4.810 5.937 8.553
angles (deg): 74.27 73.67 66.10
Positions (direct):
Li1 0.349 0.985 0.318
Li2 0.651 0.015 0.682
Nd1 0.350 0.617 0.682
Nd2 0.000 0.000 0.000
Nd3 0.650 0.383 0.318
Ag1 0.280 0.375 0.064
Ag2 0.720 0.625 0.936
Ag3 0.078 0.244 0.600
Ag4 0.922 0.756 0.400

## Properties
**Total magnetic moment**: 0.0 μB per cell



[8]
A relaxed Li3Nd2Ag4 crystal. Source: the Alexandria database, functional GGA-PBE.

a b c (Å): 5.731 8.207 8.572
angles (deg): 90.00 109.53 90.00
Positions (direct):
Li1 0.000 0.000 0.000
Li2 0.500 0.500 0.000
Li3 0.532 0.750 0.563
Li4 0.968 0.250 0.437
Li5 0.468 0.250 0.437
Li6 0.032 0.750 0.563
Nd1 0.112 0.591 0.224
Nd2 0.888 0.409 0.776
Nd3 0.388 0.091 0.776
Nd4 0.612 0.909 0.224
Ag1 0.695 0.750 0.890
Ag2 0.805 0.250 0.110
Ag3 0.305 0.250 0.110
Ag4 0.195 0.750 0.890
Ag5 0.186 0.971 0.372
Ag6 0.814 0.029 0.628
Ag7 0.314 0.471 0.628
Ag8 0.686 0.529 0.372

## Properties
**Total magnetic moment**: 0.0 μB per cell



[9]
A relaxed LiNdAg2 crystal. Source: the Alexandria database, functional GGA-PBE.

a b c (Å): 4.661 4.661 5.504
angles (deg): 64.95 64.95 60.00
Positions (direct):
Nd1 0.000 0.000 0.000
Ag1 0.784 0.784 0.647
Ag2 0.216 0.216 0.353
Li1 0.500 0.500 0.500

## Properties
**Total magnetic moment**: 0.0 μB per cell



[10]
A relaxed Li5NdAg2 crystal. Source: the Alexandria database, functional GGA-PBE.

a b c (Å): 3.382 7.252 7.252
angles (deg): 75.34 76.52 76.52
Positions (direct):
Li1 0.000 0.500 0.500
Li2 0.354 0.440 0.851
Li3 0.646 0.560 0.149
Li4 0.646 0.149 0.560
Li5 0.354 0.851 0.440
Nd1 0.000 0.000 0.000
Ag1 0.256 0.244 0.244
Ag2 0.744 0.756 0.756

## Properties
**Total magnetic moment**: 0.0 μB per cell



[11]
A relaxed Li5Nd2Ag5 crystal. Source: the Alexandria database, functional GGA-PBE.

a b c (Å): 4.665 5.383 9.693
angles (deg): 90.00 90.00 90.00
Positions (direct):
Li1 0.500 0.500 0.500
Li2 0.500 0.752 0.245
Li3 0.500 0.248 0.755
Li4 0.500 0.248 0.245
Li5 0.500 0.752 0.755
Nd1 0.000 0.500 0.000
Nd2 0.000 0.000 0.500
Ag1 0.000 0.500 0.331
Ag2 0.000 0.000 0.824
Ag3 0.000 0.000 0.176
Ag4 0.000 0.500 0.669
Ag5 0.500 0.000 0.000

## Properties
**Total magnetic moment**: 0.0 μB per cell



[12]
A relaxed LiNdAg crystal. Source: the Alexandria database, functional GGA-PBE.

a b c (Å): 4.912 4.912 4.912
angles (deg): 60.00 60.00 60.00
Positions (direct):
Nd1 0.000 0.000 0.000
Ag1 0.250 0.250 0.250
Li1 0.500 0.500 0.500

## Properties
**Total magnetic moment**: 0.0 μB per cell



Number 1: energy relative to the elements -181 meV/atom. Number 2: energy relative to the elements -136 meV/atom. Number 3: energy relative to the elements -217 meV/atom. Number 4: energy relative to the elements -190 meV/atom. Number 5: energy relative to the elements -49 meV/atom. Number 6: energy relative to the elements -171 meV/atom. Number 7: energy relative to the elements -195 meV/atom. Number 8: energy relative to the elements -180 meV/atom. Number 9: energy relative to the elements -219 meV/atom. Number 10: energy relative to the elements -93 meV/atom. Number 11: energy relative to the elements -201 meV/atom. Number 12: energy relative to the elements 34 meV/atom.